Compound: Ba2SrPm
Source: Alexandria
Functional: PBE
Structure: optimized geometry

Values from the calculation:
E_form	0.313	eV per atom
E_tot	-2.26	eV/atom
ΔE to the lowest computed polymorph	0.172	eV/atom

abc: 4.0085 4.0085 14.7379
angles: 82.18 82.18 60.00
Positions (direct):
Sr 0.5000 0.5000 0.5000
Ba 0.0832 0.0832 0.7503
Ba 0.9168 0.9168 0.2497
Pm 0.0000 0.0000 0.0000